# 1
Material: MgGePd2
Method: DFT, PBE
State: optimized geometry

a b c (Å): 4.4520 4.4522 4.4522
angles (deg): 60.00 60.00 60.00
Fractional coordinates of all 4 atoms:
Pd1 0.0000 0.0000 0.0000
Pd2 0.5000 0.5000 0.5000
Mg1 0.7500 0.7500 0.7500
Ge1 0.2500 0.2500 0.2500

Density = 8244 kg/m³
Fermi-level density of states = 1.81 states/eV per cell
Magnetic moment = 0.000 μB per cell

---

# 2
Material: MgGe2Pd
Method: DFT, PBE
State: optimized geometry

a b c (Å): 4.0316 4.0316 9.4877
angles (deg): 77.73 77.73 90.00
Fractional coordinates of all 8 atoms:
Ge1 0.1033 0.6250 0.2500
Ge2 0.3750 0.3533 0.7500
Ge3 0.6467 0.1250 0.2500
Ge4 0.8750 0.8967 0.7500
Mg1 0.5000 0.5000 0.0000
Mg2 0.2500 0.7500 0.5000
Pd1 0.7500 0.2500 0.5000
Pd2 0.0000 0.0000 0.0000

Density = 6232 kg/m³
Fermi-level density of states = 3.48 states/eV per cell
Magnetic moment = 0.000 μB per cell

---

# 3
Material: Mg3Ge3Pd2
Method: DFT, PBE
State: optimized geometry

a b c (Å): 5.2859 6.6690 16.5869
angles (deg): 90.00 90.00 90.00
Fractional coordinates of all 32 atoms:
Pd1 0.0979 0.8846 0.6217
Pd2 0.4021 0.3846 0.8783
Pd3 0.4021 0.3846 0.6217
Pd4 0.9021 0.1154 0.3783
Pd5 0.5979 0.6154 0.3783
Pd6 0.9021 0.1154 0.1217
Pd7 0.5979 0.6154 0.1217
Pd8 0.0979 0.8846 0.8783
Mg1 0.3461 0.6732 0.7500
Mg2 0.6064 0.0116 0.6196
Mg3 0.8936 0.5116 0.8804
Mg4 0.1539 0.1732 0.7500
Mg5 0.3936 0.9884 0.1196
Mg6 0.8936 0.5116 0.6196
Mg7 0.1064 0.4884 0.3804
Mg8 0.1064 0.4884 0.1196
Mg9 0.6064 0.0116 0.8804
Mg10 0.8461 0.8268 0.2500
Mg11 0.3936 0.9884 0.3804
Mg12 0.6539 0.3268 0.2500
Ge1 0.6611 0.3218 0.7500
Ge2 0.3837 0.6862 0.5231
Ge3 0.6163 0.3138 0.0231
Ge4 0.8837 0.8138 0.0231
Ge5 0.6163 0.3138 0.4769
Ge6 0.1163 0.1862 0.9769
Ge7 0.1163 0.1862 0.5231
Ge8 0.8389 0.8218 0.7500
Ge9 0.3389 0.6782 0.2500
Ge10 0.3837 0.6862 0.9769
Ge11 0.8837 0.8138 0.4769
Ge12 0.1611 0.1782 0.2500

Density = 5722 kg/m³
Fermi-level density of states = 8.64 states/eV per cell
Magnetic moment = 0.000 μB per cell
Offset from the most stable computed form = 0.26 eV/f.u.

---

# 4
Material: Mg5GePd6
Method: DFT, PBE
State: optimized geometry

a b c (Å): 4.5388 6.1724 7.1400
angles (deg): 90.00 72.67 90.00
Fractional coordinates of all 12 atoms:
Pd1 0.8389 0.2447 0.3214
Pd2 0.5000 0.7597 0.0000
Pd3 0.8389 0.7553 0.3214
Pd4 0.5000 0.2403 0.0000
Pd5 0.1611 0.2447 0.6786
Pd6 0.1611 0.7553 0.6786
Mg1 0.3315 0.5000 0.3382
Mg2 0.6706 0.0000 0.6592
Mg3 0.3294 0.0000 0.3408
Mg4 0.6685 0.5000 0.6618
Mg5 0.0000 0.5000 0.0000
Ge1 0.0000 0.0000 0.0000

Density = 7241 kg/m³
Fermi-level density of states = 4.71 states/eV per cell
Magnetic moment = 0.000 μB per cell

---

# 5
Material: MgGe3Pd
Method: DFT, PBE
State: optimized geometry

a b c (Å): 4.8908 4.8908 4.8908
angles (deg): 90.00 90.00 90.00
Fractional coordinates of all 5 atoms:
Pd1 0.0000 0.0000 0.0000
Ge1 0.0000 0.5000 0.0000
Ge2 0.0000 0.0000 0.5000
Ge3 0.5000 0.0000 0.0000
Mg1 0.5000 0.5000 0.5000

Density = 4949 kg/m³
Fermi-level density of states = 1.49 states/eV per cell
Magnetic moment = 0.000 μB per cell

---

# 6
Material: Mg5GePd4
Method: DFT, PBE
State: optimized geometry

a b c (Å): 3.2457 3.2457 15.8213
angles (deg): 90.00 90.00 90.00
Fractional coordinates of all 10 atoms:
Mg1 0.5000 0.5000 0.6940
Mg2 0.5000 0.5000 0.3060
Mg3 0.5000 0.5000 0.1118
Mg4 0.5000 0.5000 0.5000
Mg5 0.5000 0.5000 0.8882
Ge1 0.0000 0.0000 0.0000
Pd1 0.0000 0.0000 0.5969
Pd2 0.0000 0.0000 0.4031
Pd3 0.0000 0.0000 0.2067
Pd4 0.0000 0.0000 0.7933

Density = 6175 kg/m³
Fermi-level density of states = 3.10 states/eV per cell
Magnetic moment = 0.000 μB per cell

---

# 7
Material: MgGe2Pd9
Method: DFT, PBE
State: optimized geometry

a b c (Å): 3.9440 3.9440 11.8397
angles (deg): 90.00 90.00 90.00
Fractional coordinates of all 12 atoms:
Pd1 0.5000 0.5000 0.0000
Pd2 0.5000 0.5000 0.3364
Pd3 0.5000 0.0000 0.5000
Pd4 0.0000 0.5000 0.5000
Pd5 0.5000 0.5000 0.6636
Pd6 0.5000 0.0000 0.8286
Pd7 0.5000 0.0000 0.1714
Pd8 0.0000 0.5000 0.8286
Pd9 0.0000 0.5000 0.1714
Ge1 0.0000 0.0000 0.6686
Ge2 0.0000 0.0000 0.3314
Mg1 0.0000 0.0000 0.0000

Density = 10165 kg/m³
Fermi-level density of states = 9.89 states/eV per cell
Magnetic moment = 0.000 μB per cell

---

# 8
Material: MgGePd2
Method: DFT, PBE
State: optimized geometry

a b c (Å): 5.8496 5.8496 5.8496
angles (deg): 57.36 151.50 131.35
Fractional coordinates of all 4 atoms:
Mg1 0.0000 0.0000 0.0000
Pd1 0.0000 0.7372 0.7372
Pd2 0.0000 0.2628 0.2628
Ge1 0.0000 0.5000 0.5000

Density = 7221 kg/m³
Fermi-level density of states = 2.69 states/eV per cell
Magnetic moment = 0.000 μB per cell

---

| no. | formation energy (eV/atom) | calculated total energy (eV per atom) |
| --- | --- | --- |
| 1 | -0.5783 | -4.73 |
| 2 | -0.1665 | -4.17 |
| 3 | -0.3931 | -4.02 |
| 4 | -0.6944 | -4.34 |
| 5 | 0.2551 | -3.87 |
| 6 | -0.6155 | -3.95 |
| 7 | -0.4094 | -5.21 |
| 8 | -0.0773 | -4.23 |